## SmTmPdRh (PBE-GGA)

Data for SmTmPdRh after structural relaxation.

Theoretical density: 10.0 g cm⁻³
Calculated total energy: -6.287 eV/atom
Calculated formation energy: -853 meV/atom
ΔE to the lowest computed polymorph: 0 meV per atom
D(E_F): 0.589 states/eV/atom
SG: No. 38
Size of the total moment: 0.00 μB per formula unit

Cell: 4.4583 5.6159 5.6159 Å, 38.66 90.00 90.00°
Atoms (fractional coordinates):
1 Sm 0.0000 0.0000 0.0000
2 Tm 0.5000 0.7214 0.7214
3 Pd 0.5000 0.4404 0.4404
4 Rh 0.0000 0.2660 0.2660